Material: BaReRh2
Method: DFT, PBE
State: optimized geometry

Cell and atoms, written as CIF:
```
data_BaReRh2
_cell_length_a 2.9364
_cell_length_b 4.9063
_cell_length_c 10.9387
_cell_angle_alpha 90.00
_cell_angle_beta 90.00
_cell_angle_gamma 90.00
_symmetry_space_group_name_H-M 'I m m 2'
_symmetry_Int_Tables_number 44
loop_
_symmetry_equiv_pos_as_xyz
'x,y,z'
'-x,-y,z'
'-x,y,z'
'x,-y,z'
'x+1/2,y+1/2,z+1/2'
'-x+1/2,-y+1/2,z+1/2'
'-x+1/2,y+1/2,z+1/2'
'x+1/2,-y+1/2,z+1/2'
loop_
_atom_site_label
_atom_site_type_symbol
_atom_site_fract_x
_atom_site_fract_y
_atom_site_fract_z
_atom_site_occupancy
Ba1 Ba 0.0000 0.0000 0.0000 1
Re1 Re 0.0000 0.5000 0.2297 1
Rh1 Rh 0.0000 0.0000 0.5370 1
Rh2 Rh 0.0000 0.5000 0.7871 1
```

Computed properties:
total energy: -52.69 eV for the cell shown
formation energy from the elements: 682 meV per atom
E above lowest polymorph: 49.33 kJ/mol of atoms